No. 1
Compound: LiCo2
Source: OQMD via LeMat-Bulk
Functional: PBE
Structure: relaxed

Cell: 2.4047 3.7793 7.1297 Å, 90.00 90.00 90.00°
Last column: nearest neighbours and their distance in Å.
Space group Immm (No. 71)
Symmetry-distinct sites (fractional):
Li 0.0000 0.0000 0.0000  10 Co 2.34-2.55, 2 Li 2.40
Co 0.0000 0.0000 0.3287  5 Li 2.34-2.55, 7 Co 2.40-2.50

As for the raw total energy: -0.383 Ry per atom.

***

No. 2
Compound: LiLuCo
Source: OQMD via LeMat-Bulk
Functional: PBE
Structure: relaxed

Cell: 5.9193 5.9193 5.9193 Å, 90.00 90.00 90.00°
Last column: nearest neighbours and their distance in Å.
Space group F-43m (No. 216)
Symmetry-distinct sites (fractional):
Li 0.0000 0.0000 0.0000  4 Co 2.56, 4 Lu 2.56
Lu 0.2500 0.2500 0.2500  4 Li 2.56
Co 0.2500 0.2500 0.7500  4 Li 2.56

As for the raw total energy: -0.298 Ry per atom.

***

No. 3
Compound: Li2LuCo
Source: OQMD via LeMat-Bulk
Functional: PBE
Structure: relaxed

Cell: 6.3583 6.3583 6.3583 Å, 90.00 90.00 90.00°
Last column: nearest neighbours and their distance in Å.
Space group F-43m (No. 216)
Symmetry-distinct sites (fractional):
Li 0.0000 0.0000 0.0000  4 Li 2.75, 4 Lu 2.75
Li 0.2500 0.2500 0.2500  4 Co 2.75, 4 Li 2.75
Lu 0.2500 0.2500 0.7500  4 Li 2.75, 4 Co 2.75
Co 0.0000 0.0000 0.5000  4 Lu 2.75, 4 Li 2.75

As for the raw total energy: -0.273 Ry per atom.

***

Q: Look up the raw total energy of the third one.
A: -0.273 Ry per atom

***

What did the third record say?
Compound: Li2LuCo
Source: OQMD via LeMat-Bulk
Functional: PBE
Structure: relaxed

Cell: 6.3583 6.3583 6.3583 Å, 90.00 90.00 90.00°
Last column: nearest neighbours and their distance in Å.
Space group F-43m (No. 216)
Symmetry-distinct sites (fractional):
Li 0.0000 0.0000 0.0000  4 Li 2.75, 4 Lu 2.75
Li 0.2500 0.2500 0.2500  4 Co 2.75, 4 Li 2.75
Lu 0.2500 0.2500 0.7500  4 Li 2.75, 4 Co 2.75
Co 0.0000 0.0000 0.5000  4 Lu 2.75, 4 Li 2.75

As for the raw total energy: -0.273 Ry per atom.

***

What did the third record say?
Compound: Li2LuCo
Source: OQMD via LeMat-Bulk
Functional: PBE
Structure: relaxed

Cell: 6.3583 6.3583 6.3583 Å, 90.00 90.00 90.00°
Last column: nearest neighbours and their distance in Å.
Space group F-43m (No. 216)
Symmetry-distinct sites (fractional):
Li 0.0000 0.0000 0.0000  4 Li 2.75, 4 Lu 2.75
Li 0.2500 0.2500 0.2500  4 Co 2.75, 4 Li 2.75
Lu 0.2500 0.2500 0.7500  4 Li 2.75, 4 Co 2.75
Co 0.0000 0.0000 0.5000  4 Lu 2.75, 4 Li 2.75

As for the raw total energy: -0.273 Ry per atom.